No. 1
# Ca3GaAg2Au9, optimized geometry, DFT GGA-PBE
# D(E_F) = 3.87 states/eV/f.u.
# Formation energy = -316 meV/atom
# VASP energy = -49.0 eV/cell
# M_tot = 0.00 Bohr magnetons per cell
data_Ca3GaAg2Au9
_chemical_formula_sum 'Ca3 Ga1 Ag2 Au9'
_cell_length_a 5.6893
_cell_length_b 5.6893
_cell_length_c 13.2084
_cell_angle_alpha 90.00
_cell_angle_beta 90.00
_cell_angle_gamma 120.00
_symmetry_space_group_name_H-M 'P -3 m 1'
_symmetry_Int_Tables_number 164
_symmetry_space_group_name_Hall '-P 3 2"'
loop_
_atom_site_label
_atom_site_fract_x
_atom_site_fract_y
_atom_site_fract_z
Ca1 0.0000 0.0000 0.0000
Ca2 0.3333 0.6667 0.7710
Ga1 0.0000 0.0000 0.5000
Ag1 0.3333 0.6667 0.1730
Au1 0.0000 0.5000 0.0000
Au2 0.1674 0.3348 0.3454


No. 2
# Ca2Ga3AgAu12, optimized geometry, DFT GGA-PBE
# D(E_F) = 6.52 states/eV/f.u.
# Formation energy = -77 meV/atom
# VASP energy = -170.0 eV/cell
# M_tot = 0.00 Bohr magnetons per cell
data_Ca2Ga3AgAu12
_chemical_formula_sum 'Ca6 Ga9 Ag3 Au36'
_cell_length_a 8.7511
_cell_length_b 8.7511
_cell_length_c 18.8675
_cell_angle_alpha 90.00
_cell_angle_beta 90.00
_cell_angle_gamma 120.00
_symmetry_space_group_name_H-M 'R -3 m'
_symmetry_Int_Tables_number 166
_symmetry_space_group_name_Hall '-R 3 2"'
loop_
_atom_site_label
_atom_site_fract_x
_atom_site_fract_y
_atom_site_fract_z
Ca1 0.0000 0.0000 0.1054
Ga1 0.0000 0.5000 0.0000
Ag1 0.0000 0.0000 0.5000
Au1 0.0160 0.5080 0.3698
Au2 0.0177 0.5089 0.8652


No. 3
# CaGdAgAu, optimized geometry, DFT GGA-PBE
# D(E_F) = 3.81 states/eV/f.u.
# Formation energy = -559 meV/atom
# VASP energy = -97.8 eV/cell
# M_tot = 29.00 Bohr magnetons per cell
data_CaGdAgAu
_chemical_formula_sum 'Ca4 Gd4 Ag4 Au4'
_cell_length_a 7.2950
_cell_length_b 7.2950
_cell_length_c 7.2950
_cell_angle_alpha 90.00
_cell_angle_beta 90.00
_cell_angle_gamma 90.00
_symmetry_space_group_name_H-M 'F -4 3 m'
_symmetry_Int_Tables_number 216
_symmetry_space_group_name_Hall 'F -4 2 3'
loop_
_atom_site_label
_atom_site_fract_x
_atom_site_fract_y
_atom_site_fract_z
Ca1 0.0000 0.0000 0.0000
Gd1 0.0000 0.0000 0.5000
Ag1 0.2500 0.2500 0.7500
Au1 0.2500 0.2500 0.2500